Here is a relaxed structure of LiPu2VO8 from Alexandria via LeMat-Bulk. Energies are from GGA+U.

Summary:
Energy   -8.82 eV/atom
Size of the total moment   6.0 μB/cell
SG   Cmmm, No. 65

Lattice parameters (Å, degrees): 4.728 4.726 6.757 90.00 90.00 89.48
Atoms (fractional coordinates):
O  0.804  0.197  0.718
O  0.295  0.294  0.500
O  0.196  0.803  0.282
O  0.804  0.197  0.282
O  0.196  0.803  0.718
O  0.688  0.688  0.000
O  0.705  0.706  0.500
O  0.312  0.312  0.000
Pu  0.500  0.500  0.749
Pu  0.500  0.500  0.251
V  0.000  0.000  0.500
Li  0.000  0.000  0.000